1.
PBE CaCu2Au, relaxed; ΔE_f = -0.180 eV/atom; D(E_F) = 1.46 states/eV/f.u.; spin magnetization = 0.00 μB per formula unit; calculated density = 8.61 Mg/m³; energy relative to the lowest polymorph listed for this composition = 37 kJ/mol of formula units
1.0
0.0000 3.2741 3.2741
3.2741 0.0000 3.2741
3.2741 3.2741 0.0000
Ca Cu Au
1 2 1
Direct
0.0000 0.0000 0.0000
0.2500 0.2500 0.2500
0.7500 0.7500 0.7500
0.5000 0.5000 0.5000

---

2.
PBE Na2Tl3CuBr6, relaxed; energy relative to the elements, uncorrected = -930 meV per atom; spin magnetization = 0.06 μB per formula unit; calculated density = 5.37 Mg/m³
1.0
3.8628 -6.3687 0.0000
3.8628 6.3687 0.0000
-2.6425 0.0000 7.5568
Na Tl Cu Br
2 3 1 6
Direct
0.1644 0.8356 0.0000
0.8356 0.1644 0.0000
0.0000 0.0000 0.5000
0.3246 0.6754 0.5000
0.6754 0.3246 0.5000
0.5000 0.5000 0.0000
0.1390 0.4389 0.8040
0.2460 0.2460 0.2316
0.4389 0.1390 0.8040
0.5611 0.8610 0.1960
0.7540 0.7540 0.7684
0.8610 0.5611 0.1960

---

3.
PBE LiAc2HgIr, relaxed; ΔE_f = -0.477 eV/atom; D(E_F) = 2.89 states/eV/f.u.; spin magnetization = 0.00 μB per formula unit; calculated density = 9.88 Mg/m³
1.0
8.1662 0.0000 0.0000
0.0000 4.4648 0.0000
-2.6236 0.0000 7.8690
Li Ac Hg Ir
2 4 2 2
Direct
0.0662 0.2500 0.1655
0.9338 0.7500 0.8345
0.2300 0.7500 0.5425
0.3893 0.7500 0.1599
0.6107 0.2500 0.8401
0.7700 0.2500 0.4575
0.1552 0.2500 0.8383
0.8448 0.7500 0.1617
0.3802 0.2500 0.3972
0.6198 0.7500 0.6028

---

Copy entry 1 word for word.
PBE CaCu2Au, relaxed; ΔE_f = -0.180 eV/atom; D(E_F) = 1.46 states/eV/f.u.; spin magnetization = 0.00 μB per formula unit; calculated density = 8.61 Mg/m³; energy relative to the lowest polymorph listed for this composition = 37 kJ/mol of formula units
1.0
0.0000 3.2741 3.2741
3.2741 0.0000 3.2741
3.2741 3.2741 0.0000
Ca Cu Au
1 2 1
Direct
0.0000 0.0000 0.0000
0.2500 0.2500 0.2500
0.7500 0.7500 0.7500
0.5000 0.5000 0.5000